# K3Bi5P6O24 (GGA-PBEsol, optimized geometry)
data_K3Bi5P6O24
_space_group_name_H-M_alt 'C 1 2/c 1'
_space_group_IT_number 15
_cell_length_a 17.594
_cell_length_b 6.976
_cell_length_c 18.515
_cell_angle_alpha 90.00
_cell_angle_beta 113.69
_cell_angle_gamma 90.00
loop_
_space_group_symop_operation_xyz
'x,y,z'
'-x,-y,-z'
'-x,y,-z+1/2'
'x,-y,z+1/2'
'x+1/2,y+1/2,z'
'-x+1/2,-y+1/2,-z'
'-x+1/2,y+1/2,-z+1/2'
'x+1/2,-y+1/2,z+1/2'
loop_
_atom_site_label
_atom_site_type_symbol
_atom_site_fract_x
_atom_site_fract_y
_atom_site_fract_z
_atom_site_occupancy
K1 K 0.000 0.187 0.250 1
K2 K 0.076 0.100 0.072 1
Bi1 Bi 0.000 0.355 0.750 1
Bi2 Bi 0.140 0.407 0.475 1
Bi3 Bi 0.223 0.113 0.794 1
P1 P 0.071 0.415 0.617 1
P2 P 0.131 0.084 0.910 1
P3 P 0.215 0.392 0.348 1
O1 O 0.001 0.457 0.121 1
O2 O 0.052 0.307 0.539 1
O3 O 0.084 0.120 0.818 1
O4 O 0.092 0.268 0.686 1
O5 O 0.094 0.106 0.424 1
O6 O 0.118 0.245 0.959 1
O7 O 0.127 0.456 0.338 1
O8 O 0.146 0.450 0.127 1
O9 O 0.208 0.228 0.288 1
O10 O 0.223 0.069 0.919 1
O11 O 0.239 0.056 0.175 1
O12 O 0.240 0.164 0.565 1
# Mass density, g/cm3: 5.53
# E_form (uncorrected), eV per atom: -2.0483
# Total moment, μB/cell: 0.00
# N(E_F), states/eV/f.u.: 0.000


# AsIrBr2O (GGA-PBEsol, optimized geometry)
data_AsIrBr2O
_space_group_name_H-M_alt 'P 4/m m m'
_space_group_IT_number 123
_space_group_name_Hall '-P 4 2'
_cell_length_a 5.142
_cell_length_b 5.142
_cell_length_c 4.572
_cell_angle_alpha 90.00
_cell_angle_beta 90.00
_cell_angle_gamma 90.00
loop_
_atom_site_label
_atom_site_type_symbol
_atom_site_fract_x
_atom_site_fract_y
_atom_site_fract_z
_atom_site_occupancy
As1 As 0.000 0.000 0.000 1
Ir1 Ir 0.000 0.000 0.500 1
Br1 Br 0.000 0.500 0.500 1
O1 O 0.500 0.500 0.000 1
# Mass density, g/cm3: 6.08
# E_form (uncorrected), eV per atom: 0.8701
# Total moment, μB/cell: 2.00
# N(E_F), states/eV/f.u.: 6.788


# LaAs3 (GGA-PBEsol, optimized geometry)
data_LaAs3
_space_group_name_H-M_alt 'P 63/m m c'
_space_group_IT_number 194
_space_group_name_Hall '-P 6c 2c'
_cell_length_a 6.1246
_cell_length_b 6.1246
_cell_length_c 5.7338
_cell_angle_alpha 90.00
_cell_angle_beta 90.00
_cell_angle_gamma 120.00
loop_
_atom_site_label
_atom_site_type_symbol
_atom_site_fract_x
_atom_site_fract_y
_atom_site_fract_z
_atom_site_occupancy
La1 La 0.3333 0.6667 0.2500 1
As1 As 0.1930 0.3860 0.7500 1
# Mass density, g/cm3: 6.48
# Energy, eV/atom: -5.81
# Total moment, μB/cell: 0.00
# N(E_F), states/eV/f.u.: 1.894


# BaCrRe2 (GGA-PBEsol, optimized geometry)
data_BaCrRe2
_space_group_name_H-M_alt 'I m m m'
_space_group_IT_number 71
_space_group_name_Hall '-I 2 2'
_cell_length_a 2.836
_cell_length_b 4.999
_cell_length_c 10.105
_cell_angle_alpha 90.00
_cell_angle_beta 90.00
_cell_angle_gamma 90.00
loop_
_atom_site_label
_atom_site_type_symbol
_atom_site_fract_x
_atom_site_fract_y
_atom_site_fract_z
_atom_site_occupancy
Ba1 Ba 0.000 0.000 0.000 1
Cr1 Cr 0.000 0.000 0.500 1
Re1 Re 0.000 0.500 0.211 1
# Mass density, g/cm3: 13.02
# Energy, eV/atom: -8.53
# Total moment, μB/cell: 2.19
# N(E_F), states/eV/f.u.: 4.024


# Zn3NCl (GGA-PBEsol, optimized geometry)
data_Zn3NCl
_space_group_name_H-M_alt 'P m -3 m'
_space_group_IT_number 221
_space_group_name_Hall '-P 4 2 3'
_cell_length_a 4.280
_cell_length_b 4.280
_cell_length_c 4.280
_cell_angle_alpha 90.00
_cell_angle_beta 90.00
_cell_angle_gamma 90.00
loop_
_atom_site_label
_atom_site_type_symbol
_atom_site_fract_x
_atom_site_fract_y
_atom_site_fract_z
_atom_site_occupancy
Zn1 Zn 0.000 0.000 0.500 1
N1 N 0.000 0.000 0.000 1
Cl1 Cl 0.500 0.500 0.500 1
# Mass density, g/cm3: 5.20
# E_form (uncorrected), eV per atom: 0.2124
# Total moment, μB/cell: 0.00
# N(E_F), states/eV/f.u.: 1.181


# Y2CuP (GGA-PBEsol, optimized geometry)
data_Y2CuP
_space_group_name_H-M_alt 'P 1 2/m 1'
_space_group_IT_number 10
_cell_length_a 3.976
_cell_length_b 3.978
_cell_length_c 5.613
_cell_angle_alpha 90.00
_cell_angle_beta 90.61
_cell_angle_gamma 90.00
loop_
_space_group_symop_operation_xyz
'x,y,z'
'-x,-y,-z'
'-x,y,-z'
'x,-y,z'
loop_
_atom_site_label
_atom_site_type_symbol
_atom_site_fract_x
_atom_site_fract_y
_atom_site_fract_z
_atom_site_occupancy
Y1 Y 0.000 0.000 0.000 1
Y2 Y 0.500 0.500 0.500 1
Cu1 Cu 0.000 0.000 0.500 1
P1 P 0.500 0.500 0.000 1
# Mass density, g/cm3: 5.09
# Energy, eV/atom: -6.66
# Total moment, μB/cell: 0.01
# N(E_F), states/eV/f.u.: 4.799


# CaCd2Pt (GGA-PBEsol, optimized geometry)
data_CaCd2Pt
_space_group_name_H-M_alt 'F -4 3 m'
_space_group_IT_number 216
_space_group_name_Hall 'F -4 2 3'
_cell_length_a 6.849
_cell_length_b 6.849
_cell_length_c 6.849
_cell_angle_alpha 90.00
_cell_angle_beta 90.00
_cell_angle_gamma 90.00
loop_
_atom_site_label
_atom_site_type_symbol
_atom_site_fract_x
_atom_site_fract_y
_atom_site_fract_z
_atom_site_occupancy
Ca1 Ca 0.000 0.000 0.000 1
Cd1 Cd 0.000 0.000 0.500 1
Cd2 Cd 0.250 0.250 0.250 1
Pt1 Pt 0.250 0.250 0.750 1
# Mass density, g/cm3: 9.51
# Energy, eV/atom: -3.27
# Total moment, μB/cell: 0.00
# N(E_F), states/eV/f.u.: 1.703


# LiZrZn4 (GGA-PBEsol, optimized geometry)
data_LiZrZn4
_space_group_name_H-M_alt 'F -4 3 m'
_space_group_IT_number 216
_space_group_name_Hall 'F -4 2 3'
_cell_length_a 7.197
_cell_length_b 7.197
_cell_length_c 7.197
_cell_angle_alpha 90.00
_cell_angle_beta 90.00
_cell_angle_gamma 90.00
loop_
_atom_site_label
_atom_site_type_symbol
_atom_site_fract_x
_atom_site_fract_y
_atom_site_fract_z
_atom_site_occupancy
Li1 Li 0.000 0.000 0.000 1
Zr1 Zr 0.250 0.250 0.250 1
Zn1 Zn 0.124 0.124 0.624 1
# Mass density, g/cm3: 6.41
# Energy, eV/atom: -3.06
# Total moment, μB/cell: 0.00
# N(E_F), states/eV/f.u.: 2.487